Record 1
Entry from Alexandria via LeMat-Bulk: AcPm2Y9 after structural relaxation (PBE).

Output
**Space group**: P4/mmm
**Total magnetization**: 0.00 μB per formula unit
**Formation energy**: 0.0335 eV per atom

Lattice parameters (Å, degrees): 5.115 5.115 15.375 90.00 90.00 90.00
Positions (direct):
1 Ac 0.000 0.000 0.000
2 Y 0.500 0.500 0.000
3 Y 0.000 0.500 0.827
4 Y 0.500 0.000 0.827
5 Y 0.000 0.500 0.173
6 Y 0.500 0.500 0.664
7 Y 0.000 0.500 0.500
8 Y 0.500 0.000 0.173
9 Y 0.500 0.500 0.336
10 Y 0.500 0.000 0.500
11 Pm 0.000 0.000 0.335
12 Pm 0.000 0.000 0.665

=====

Record 2
Entry from Alexandria via LeMat-Bulk: Ac3Pm6Y after structural relaxation (PBE).

Output
**Space group**: R-3
**Total magnetization**: 0.01 μB per formula unit
**Formation energy**: 0.3610 eV per atom

Lattice parameters (Å, degrees): 10.198 10.198 7.290 45.62 45.62 60.00
Positions (direct):
1 Pm 0.442 0.772 0.688
2 Pm 0.772 0.098 0.688
3 Pm 0.257 0.928 0.213
4 Pm 0.602 0.257 0.213
5 Pm 0.928 0.602 0.213
6 Pm 0.098 0.442 0.688
7 Ac 0.607 0.607 0.179
8 Ac 0.350 0.350 0.949
9 Ac 0.093 0.093 0.720
10 Y 0.850 0.850 0.450

=====

Record 3
Entry from Alexandria via LeMat-Bulk: Ac3Pm2Y7 after structural relaxation (PBE).

Output
**Space group**: Cmmm
**Total magnetization**: 1.12 μB per formula unit
**Formation energy**: 0.2396 eV per atom

Lattice parameters (Å, degrees): 3.797 5.814 20.704 90.00 95.26 90.00
Positions (direct):
1 Y 0.417 0.000 0.834
2 Y 0.284 0.500 0.568
3 Y 0.583 0.000 0.166
4 Y 0.716 0.500 0.432
5 Y 0.930 0.500 0.861
6 Y 0.070 0.500 0.139
7 Y 0.000 0.000 0.000
8 Ac 0.500 0.500 0.000
9 Ac 0.173 0.000 0.345
10 Ac 0.827 0.000 0.655
11 Pm 0.362 0.500 0.725
12 Pm 0.638 0.500 0.275

=====

Record 4
Entry from Alexandria via LeMat-Bulk: Ac4Pm2Y3 after structural relaxation (PBE).

Output
**Space group**: C2/m
**Total magnetization**: 0.00 μB per formula unit
**Formation energy**: 0.0464 eV per atom

Lattice parameters (Å, degrees): 5.413 6.457 11.291 74.83 89.99 65.25
Positions (direct):
1 Ac 0.666 0.667 0.888
2 Ac 0.005 0.991 0.333
3 Ac 0.995 0.009 0.667
4 Ac 0.334 0.333 0.112
5 Pm 0.671 0.658 0.227
6 Pm 0.329 0.342 0.773
7 Y 0.335 0.330 0.450
8 Y 0.000 0.000 0.000
9 Y 0.665 0.670 0.550

=====

Record 5
Entry from Alexandria via LeMat-Bulk: Ac2Pm6Y5 after structural relaxation (PBE).

Output
**Space group**: Pbam
**Total magnetization**: 0.00 μB per formula unit
**Formation energy**: 0.1093 eV per atom

Lattice parameters (Å, degrees): 3.715 12.065 20.730 90.00 90.00 90.00
Positions (direct):
1 Pm 0.000 0.940 0.926
2 Pm 0.500 0.180 0.620
3 Pm 0.000 0.060 0.074
4 Pm 0.000 0.574 0.138
5 Pm 0.000 0.074 0.362
6 Pm 0.500 0.820 0.380
7 Pm 0.500 0.320 0.120
8 Pm 0.500 0.680 0.880
9 Pm 0.000 0.426 0.862
10 Pm 0.000 0.560 0.426
11 Pm 0.000 0.440 0.574
12 Pm 0.000 0.926 0.638
13 Ac 0.000 0.664 0.721
14 Ac 0.000 0.164 0.779
15 Ac 0.000 0.336 0.279
16 Ac 0.000 0.836 0.221
17 Y 0.500 0.597 0.282
18 Y 0.500 0.000 0.500
19 Y 0.500 0.097 0.218
20 Y 0.500 0.500 0.000
21 Y 0.500 0.701 0.555
22 Y 0.500 0.299 0.445
23 Y 0.500 0.799 0.055
24 Y 0.500 0.903 0.782
25 Y 0.500 0.201 0.945
26 Y 0.500 0.403 0.718

=====

Record 6
Entry from Alexandria via LeMat-Bulk: AcPm5Y after structural relaxation (PBE).

Output
**Space group**: C2/c
**Total magnetization**: 0.00 μB per formula unit
**Formation energy**: 0.0885 eV per atom

Lattice parameters (Å, degrees): 6.757 6.757 12.279 106.20 106.20 96.92
Positions (direct):
1 Pm 0.969 0.616 0.669
2 Pm 0.240 0.532 0.966
3 Pm 0.616 0.969 0.169
4 Pm 0.384 0.031 0.831
5 Pm 0.760 0.468 0.034
6 Pm 0.031 0.384 0.331
7 Pm 0.830 0.170 0.750
8 Pm 0.170 0.830 0.250
9 Pm 0.468 0.760 0.534
10 Pm 0.532 0.240 0.466
11 Y 0.490 0.510 0.750
12 Y 0.510 0.490 0.250
13 Ac 0.000 0.000 0.000
14 Ac 0.000 0.000 0.500

=====

Record 7
Entry from Alexandria via LeMat-Bulk: Ac6PmY2 after structural relaxation (PBE).

Output
**Space group**: C2/c
**Total magnetization**: 0.00 μB per formula unit
**Formation energy**: 0.1619 eV per atom

Lattice parameters (Å, degrees): 7.757 9.951 9.951 78.55 90.02 90.02
Positions (direct):
1 Y 0.604 0.205 0.195
2 Y 0.104 0.195 0.205
3 Y 0.396 0.795 0.805
4 Y 0.896 0.805 0.795
5 Ac 0.373 0.394 0.898
6 Ac 0.128 0.607 0.597
7 Ac 0.127 0.102 0.606
8 Ac 0.627 0.606 0.102
9 Ac 0.884 0.344 0.886
10 Ac 0.384 0.886 0.344
11 Ac 0.372 0.403 0.393
12 Ac 0.628 0.597 0.607
13 Ac 0.116 0.656 0.114
14 Ac 0.873 0.898 0.394
15 Ac 0.616 0.114 0.656
16 Ac 0.872 0.393 0.403
17 Pm 0.750 0.967 0.033
18 Pm 0.250 0.033 0.967

=====

Record 8
Entry from Alexandria via LeMat-Bulk: Ac3Pm2Y6 after structural relaxation (PBE).

Output
**Space group**: C2/m
**Total magnetization**: 0.00 μB per formula unit
**Formation energy**: 0.2221 eV per atom

Lattice parameters (Å, degrees): 6.420 6.426 11.807 84.77 79.49 60.03
Positions (direct):
1 Y 0.912 0.669 0.258
2 Y 0.250 0.000 0.258
3 Y 0.750 0.000 0.742
4 Y 0.420 0.669 0.742
5 Y 0.088 0.331 0.742
6 Y 0.580 0.331 0.258
7 Ac 0.665 0.670 0.000
8 Ac 0.335 0.330 0.000
9 Ac 0.000 0.000 0.000
10 Pm 0.166 0.667 0.500
11 Pm 0.834 0.333 0.500

=====

Record 9
Entry from Alexandria via LeMat-Bulk: AcPm7Y12 after structural relaxation (PBE).

Output
**Space group**: Im-3m
**Polymorph energy (0 for the lowest one)**: 373.3 meV per atom
**Total magnetization**: 0.00 μB per formula unit
**Formation energy**: 0.6044 eV per atom

Lattice parameters (Å, degrees): 9.867 9.867 9.867 109.47 109.47 109.47
Positions (direct):
1 Y 0.000 0.746 0.254
2 Y 0.491 0.746 0.746
3 Y 0.254 0.000 0.746
4 Y 0.254 0.254 0.509
5 Y 0.746 0.746 0.491
6 Y 0.000 0.254 0.746
7 Y 0.509 0.254 0.254
8 Y 0.746 0.000 0.254
9 Y 0.254 0.509 0.254
10 Y 0.254 0.746 0.000
11 Y 0.746 0.491 0.746
12 Y 0.746 0.254 0.000
13 Pm 0.500 0.000 0.000
14 Pm 0.000 0.500 0.000
15 Pm 0.500 0.000 0.500
16 Pm 0.000 0.500 0.500
17 Pm 0.000 0.000 0.500
18 Pm 0.500 0.500 0.500
19 Pm 0.500 0.500 0.000
20 Ac 0.000 0.000 0.000

=====

Record 10
Entry from Alexandria via LeMat-Bulk: Ac2Pm4Y3 after structural relaxation (PBE).

Output
**Space group**: P3m1
**Polymorph energy (0 for the lowest one)**: 0.0 meV per atom
**Total magnetization**: 0.00 μB per formula unit
**Formation energy**: 0.0730 eV per atom

Lattice parameters (Å, degrees): 3.731 3.731 27.340 90.00 90.00 120.00
Positions (direct):
1 Pm 0.000 0.000 0.752
2 Pm 0.000 0.000 0.542
3 Pm 0.667 0.333 0.227
4 Pm 0.667 0.333 0.435
5 Ac 0.667 0.333 0.869
6 Ac 0.667 0.333 0.092
7 Y 0.667 0.333 0.648
8 Y 0.000 0.000 0.329
9 Y 0.000 0.000 0.982

=====

Record 11
Entry from Alexandria via LeMat-Bulk: Ac6Pm2Y5 after structural relaxation (PBE).

Output
**Space group**: Pbam
**Total magnetization**: 0.00 μB per formula unit
**Formation energy**: 0.1718 eV per atom

Lattice parameters (Å, degrees): 3.760 11.447 23.692 90.00 90.00 90.00
Positions (direct):
1 Pm 0.000 0.661 0.730
2 Pm 0.000 0.839 0.230
3 Pm 0.000 0.339 0.270
4 Pm 0.000 0.161 0.770
5 Y 0.500 0.089 0.250
6 Y 0.500 0.334 0.494
7 Y 0.500 0.411 0.750
8 Y 0.500 0.911 0.750
9 Y 0.500 0.834 0.006
10 Y 0.500 0.589 0.250
11 Y 0.500 0.000 0.500
12 Y 0.500 0.666 0.506
13 Y 0.500 0.166 0.994
14 Y 0.500 0.500 0.000
15 Ac 0.500 0.836 0.367
16 Ac 0.000 0.475 0.611
17 Ac 0.000 0.025 0.111
18 Ac 0.500 0.164 0.633
19 Ac 0.000 0.525 0.389
20 Ac 0.000 0.975 0.889
21 Ac 0.000 0.147 0.386
22 Ac 0.000 0.647 0.114
23 Ac 0.500 0.336 0.133
24 Ac 0.500 0.664 0.867
25 Ac 0.000 0.853 0.614
26 Ac 0.000 0.353 0.886

=====

Record 12
Entry from Alexandria via LeMat-Bulk: Ac4PmY3 after structural relaxation (PBE).

Output
**Space group**: Pmmn
**Total magnetization**: 0.00 μB per formula unit
**Formation energy**: 0.0507 eV per atom

Lattice parameters (Å, degrees): 5.416 10.557 10.826 90.00 90.00 90.00
Positions (direct):
1 Y 0.064 0.611 0.749
2 Y 0.564 0.389 0.249
3 Y 0.564 0.389 0.751
4 Y 0.064 0.611 0.251
5 Y 0.564 0.611 0.000
6 Y 0.064 0.389 0.500
7 Ac 0.564 0.864 0.750
8 Ac 0.064 0.863 0.000
9 Ac 0.064 0.862 0.500
10 Ac 0.064 0.136 0.750
11 Ac 0.564 0.864 0.250
12 Ac 0.564 0.137 0.500
13 Ac 0.064 0.136 0.250
14 Ac 0.564 0.138 0.000
15 Pm 0.564 0.610 0.500
16 Pm 0.064 0.390 0.000